[1]
## CsAgBr3 (PBE)

Data for an optimized crystal structure of CsAgBr3.

a b c (Å): 5.8861 5.8861 11.1564
angles (deg): 90.00 90.00 120.00
Closest atoms and distances in Å follow each position.
Atoms (fractional coordinates):
Cs 0.3333 0.6667 0.2500  5 Br 3.40-3.43
Cs 0.6667 0.3333 0.7500  5 Br 3.40-3.43
Ag 0.0000 0.0000 0.0000  2 Br 2.79
Ag 0.0000 0.0000 0.5000  2 Br 2.79
Br 0.0000 0.0000 0.2500  2 Ag 2.79
Br 0.0000 0.0000 0.7500  2 Ag 2.79
Br 0.3333 0.6667 0.5572  1 Cs 3.43, 3 Ag 3.46, 3 Br 3.63
Br 0.3333 0.6667 0.9428  1 Cs 3.43, 3 Ag 3.46, 3 Br 3.63
Br 0.6667 0.3333 0.0572  1 Cs 3.43, 3 Ag 3.46, 3 Br 3.63
Br 0.6667 0.3333 0.4428  1 Cs 3.43, 3 Ag 3.46, 3 Br 3.63

Properties
E = -2.363 eV per atom
energy relative to the elements, uncorrected = -0.6184 eV/atom
V = 33.47 Å³/atom
total moment = 2.0 μB/cell
space group = P6_3/mmc (194)

[2]
## Ca3Tl2Ag2Au4 (PBE)

Data for an optimized crystal structure of Ca3Tl2Ag2Au4.

a b c (Å): 4.8469 4.8469 13.3122
angles (deg): 90.00 90.00 120.00
Closest atoms and distances in Å follow each position.
Atoms (fractional coordinates):
Ca 0.0000 0.0000 0.0000  6 Au 3.21, 6 Ag 3.33, 2 Ca 3.50
Ca 0.0000 0.0000 0.2627  6 Au 3.06-3.39, 3 Ag 3.27
Ca 0.0000 0.0000 0.7373  6 Au 3.06-3.39, 3 Ag 3.27
Tl 0.3333 0.6667 0.5770  4 Au 2.94-2.95
Tl 0.6667 0.3333 0.4230  4 Au 2.94-2.95
Ag 0.3333 0.6667 0.1350  4 Au 2.81-2.93
Ag 0.6667 0.3333 0.8650  4 Au 2.81-2.93
Au 0.3333 0.6667 0.3553  1 Ag 2.93, 4 Tl 2.94-2.95, 3 Ca 3.06
Au 0.3333 0.6667 0.8816  3 Ag 2.81
Au 0.6667 0.3333 0.1184  3 Ag 2.81
Au 0.6667 0.3333 0.6447  1 Ag 2.93, 4 Tl 2.94-2.95, 3 Ca 3.06

Properties
E = -3.129 eV per atom
V = 24.62 Å³/atom
total moment = 0.0 μB/cell
space group = P-3m1 (164)
E_form = -42.7 kJ/mol of atoms

[3]
## AlBi3Pb (PBE)

Data for an optimized crystal structure of AlBi3Pb.

a b c (Å): 5.5082 5.5082 5.5082
angles (deg): 90.00 90.00 90.00
Closest atoms and distances in Å follow each position.
Atoms (fractional coordinates):
Al 0.0000 0.0000 0.0000  6 Bi 2.75
Bi 0.0000 0.0000 0.5000  2 Al 2.75
Bi 0.0000 0.5000 0.0000  2 Al 2.75
Bi 0.5000 0.0000 0.0000  2 Al 2.75
Pb 0.5000 0.5000 0.5000  12 Bi 3.89

Properties
E above lowest polymorph = 0.0 meV/atom
E = -3.428 eV per atom
V = 33.42 Å³/atom
total moment = 0.0 μB/cell
space group = Pm-3m (221)
E_form = 37.7 kJ/mol of atoms

[4]
## CuRe2Hg (PBE)

Data for an optimized crystal structure of CuRe2Hg.

a b c (Å): 9.0214 2.7860 5.0999
angles (deg): 90.00 97.67 90.00
Closest atoms and distances in Å follow each position.
Atoms (fractional coordinates):
Cu 0.0000 0.0000 0.0000  3 Hg 2.62-2.79, 5 Re 2.71-2.84, 2 Cu 2.79
Cu 0.5000 0.5000 0.0000  3 Hg 2.62-2.79, 5 Re 2.71-2.84, 2 Cu 2.79
Re 0.2459 0.5000 0.2750  5 Re 2.57-2.79, 3 Cu 2.83-2.84
Re 0.4927 0.0000 0.4550  5 Re 2.57-2.79, 2 Cu 2.71
Re 0.7459 0.0000 0.2750  5 Re 2.57-2.79, 3 Cu 2.83-2.84
Re 0.9927 0.5000 0.4550  5 Re 2.57-2.79, 2 Cu 2.71
Hg 0.2464 0.0000 0.7784  3 Cu 2.62-2.79, 2 Hg 2.79, 5 Re 2.89-2.94
Hg 0.7464 0.5000 0.7784  3 Cu 2.62-2.79, 2 Hg 2.79, 5 Re 2.89-2.94

Properties
E = -6.738 eV per atom
V = 15.88 Å³/atom
total moment = 0.0 μB/cell
space group = Cm (8)
E_form = 56.5 kJ/mol of atoms